1.
A geometry-optimized ZrSi2Os structure. Source: Alexandria, functional GGA-PBE.

Cell and atoms, written as POSCAR:
```
ZrSi2Os
1.0
2.985 0.000 0.000
0.000 2.985 0.000
0.000 0.000 6.820
Zr Si Os
1 2 1
Cartesian
0.000 0.000 0.000
1.493 1.493 1.963
1.493 1.493 4.857
0.000 0.000 3.410
```

Summary:
V in Å³/atom: 15.2
Uncorrected formation energy in meV/atom: -454
Spin magnetization in μB/f.u.: 0.00
Space group: P4/mmm, No. 123

2.
A geometry-optimized ZrSiOs2 structure. Source: Alexandria, functional GGA-PBE.

Cell and atoms, written as POSCAR:
```
ZrSiOs2
1.0
0.000 3.160 3.160
3.160 0.000 3.160
3.160 3.160 0.000
Zr Si Os
1 1 2
Cartesian
0.000 0.000 0.000
1.580 1.580 1.580
3.160 3.160 3.160
4.740 4.740 4.740
```

Summary:
V in Å³/atom: 15.8
Uncorrected formation energy in meV/atom: 151
Spin magnetization in μB/f.u.: 0.00
Space group: F-43m, No. 216

3.
A geometry-optimized ZrSiOs2 structure. Source: Alexandria, functional GGA-PBE.

Cell and atoms, written as POSCAR:
```
ZrSiOs2
1.0
1.465 0.846 8.428
-1.465 0.846 8.428
0.000 -1.692 8.428
Zr Si Os
1 1 2
Cartesian
0.000 0.000 0.000
0.000 0.000 12.642
0.000 0.000 6.040
0.000 0.000 19.244
```

Summary:
V in Å³/atom: 15.7
Uncorrected formation energy in meV/atom: 13
Spin magnetization in μB/f.u.: 0.00
Space group: R-3m, No. 166

4.
A geometry-optimized ZrSiOs structure. Source: Alexandria, functional GGA-PBE.

Cell and atoms, written as POSCAR:
```
ZrSiOs
1.0
4.256 0.000 0.000
-2.128 3.686 0.000
0.000 0.000 3.181
Zr Si Os
1 1 1
Cartesian
0.000 0.000 0.000
0.000 2.457 1.591
2.128 1.229 1.591
```

Summary:
V in Å³/atom: 16.6
Uncorrected formation energy in meV/atom: -599
Spin magnetization in μB/f.u.: 0.00
Space group: P-6m2, No. 187

5.
A geometry-optimized ZrSiOs structure. Source: Alexandria, functional GGA-PBE.

Cell and atoms, written as POSCAR:
```
ZrSiOs
1.0
-1.527 1.527 5.196
1.527 -1.527 5.196
1.527 1.527 -5.196
Zr Si Os
1 1 1
Cartesian
0.000 0.000 0.000
0.000 0.000 7.202
0.000 0.000 3.198
```

Summary:
V in Å³/atom: 16.2
Uncorrected formation energy in meV/atom: -494
Spin magnetization in μB/f.u.: 0.00
Space group: I4mm, No. 107

6.
A geometry-optimized ZrSiOs structure. Source: Alexandria, functional GGA-PBE.

Cell and atoms, written as POSCAR:
```
ZrSiOs
1.0
-2.545 2.640 3.560
2.545 -2.640 3.560
2.545 2.640 -3.560
Zr Si Os
2 2 2
Cartesian
0.000 1.320 0.885
2.545 1.320 2.675
1.272 1.320 -1.780
1.272 -1.320 1.780
2.545 0.000 0.000
0.000 0.000 3.560
```

Summary:
V in Å³/atom: 15.9
Uncorrected formation energy in meV/atom: -622
Spin magnetization in μB/f.u.: 0.00
Space group: Imma, No. 74

7.
A geometry-optimized ZrSiOs2 structure. Source: Alexandria, functional GGA-PBE.

Cell and atoms, written as POSCAR:
```
ZrSiOs2
1.0
-1.644 2.109 4.478
1.644 -2.109 4.478
1.644 2.109 -4.478
Zr Si Os
1 1 2
Cartesian
0.000 0.000 0.000
0.000 2.109 2.123
1.644 0.000 2.312
0.000 0.000 4.653
```

Summary:
V in Å³/atom: 15.5
Uncorrected formation energy in meV/atom: -190
Spin magnetization in μB/f.u.: 0.00
Space group: Imm2, No. 44

8.
A geometry-optimized ZrSi2Os structure. Source: Alexandria, functional GGA-PBE.

Cell and atoms, written as POSCAR:
```
ZrSi2Os
1.0
-1.473 2.551 4.370
1.473 -2.551 4.370
1.473 2.551 -4.370
Zr Si Os
1 2 1
Cartesian
0.000 0.000 0.000
1.473 0.000 2.418
0.000 2.551 1.952
0.000 0.000 4.370
```

Summary:
V in Å³/atom: 16.4
Uncorrected formation energy in meV/atom: -192
Spin magnetization in μB/f.u.: 0.00
Space group: Immm, No. 71

9.
A geometry-optimized ZrSi2Os structure. Source: Alexandria, functional GGA-PBE.

Cell and atoms, written as POSCAR:
```
ZrSi2Os
1.0
4.025 0.000 0.000
0.000 4.025 0.000
0.000 0.000 3.796
Zr Si Os
1 2 1
Cartesian
0.000 0.000 0.000
0.000 2.012 1.898
2.012 0.000 1.898
2.012 2.012 0.000
```

Summary:
V in Å³/atom: 15.4
Uncorrected formation energy in meV/atom: -246
Spin magnetization in μB/f.u.: 0.00
Space group: P4/mmm, No. 123

10.
A geometry-optimized ZrSiOs2 structure. Source: Alexandria, functional GGA-PBE.

Cell and atoms, written as POSCAR:
```
ZrSiOs2
1.0
2.923 0.000 0.000
0.000 3.939 0.000
-1.427 0.000 5.510
Zr Si Os
1 1 2
Cartesian
0.000 0.000 0.000
0.748 0.000 2.755
-0.022 1.970 3.944
1.519 1.970 1.566
```

Summary:
V in Å³/atom: 15.9
Uncorrected formation energy in meV/atom: -206
Spin magnetization in μB/f.u.: 0.00
Space group: P2/m, No. 10

11.
A geometry-optimized ZrSi2Os structure. Source: Alexandria, functional GGA-PBE.

Cell and atoms, written as POSCAR:
```
ZrSi2Os
1.0
3.134 0.000 0.000
0.000 3.134 0.000
0.000 0.000 6.261
Zr Si Os
1 2 1
Cartesian
0.000 0.000 0.000
0.000 0.000 3.209
1.567 1.567 4.597
1.567 1.567 2.089
```

Summary:
V in Å³/atom: 15.4
Uncorrected formation energy in meV/atom: -484
Spin magnetization in μB/f.u.: 0.00
Space group: P4mm, No. 99

12.
A geometry-optimized ZrSiOs structure. Source: Alexandria, functional GGA-PBE.

Cell and atoms, written as POSCAR:
```
ZrSiOs
1.0
0.000 3.054 3.054
3.054 0.000 3.054
3.054 3.054 0.000
Zr Si Os
1 1 1
Cartesian
0.000 0.000 0.000
3.054 3.054 3.054
1.527 1.527 1.527
```

Summary:
V in Å³/atom: 19.0
Uncorrected formation energy in meV/atom: -241
Spin magnetization in μB/f.u.: 0.00
Space group: F-43m, No. 216